[1]
Computed, not measured: a geometry-optimized K2BaTe structure at the GGA-PBE level of DFT.

Summary:
Formation energy (no corrections)   -0.75 eV/atom
Symmetry   No. 6

a = 4.694 Å, b = 4.997 Å, c = 10.100 Å
α = 75.57°, β = 90.00°, γ = 90.00°
Element x y z (fractional)
Te: 0.000 0.269 0.587
K: 0.000 0.075 0.976
K: 0.500 0.420 0.285
Ba: 0.500 0.736 0.652

[2]
Computed, not measured: a geometry-optimized Rb2AlBI6 structure at the GGA-PBE level of DFT.

Summary:
Formation energy (no corrections)   -0.46 eV/atom
Symmetry   No. 139

a = 8.037 Å, b = 8.037 Å, c = 8.050 Å
α = 60.05°, β = 60.05°, γ = 90.00°
Element x y z (fractional)
I: 0.248 0.752 0.000
I: 0.752 0.248 0.000
I: 0.752 0.752 0.000
I: 0.753 0.753 0.494
I: 0.248 0.248 0.000
I: 0.247 0.247 0.506
Rb: 0.250 0.750 0.500
Rb: 0.750 0.250 0.500
Al: 0.000 0.000 0.000
B: 0.500 0.500 0.000

[3]
Computed, not measured: a geometry-optimized LaFeCuBr2 structure at the GGA-PBE level of DFT.

Summary:
Formation energy (no corrections)   -0.02 eV/atom
Symmetry   No. 123

a = 4.882 Å, b = 5.133 Å, c = 4.882 Å
α = 90.00°, β = 90.00°, γ = 90.00°
Element x y z (fractional)
Br: 0.500 0.000 0.000
Br: 0.000 0.000 0.500
Fe: 0.000 0.000 0.000
Cu: 0.500 0.500 0.500
La: 0.000 0.500 0.000

[4]
Computed, not measured: a geometry-optimized DyCd3Pd structure at the GGA-PBE level of DFT.

Summary:
ΔE_f   -108 meV per atom
Offset from the most stable computed form   0.259 eV per atom
Symmetry   No. 119

a = 5.432 Å, b = 5.432 Å, c = 10.109 Å
α = 105.59°, β = 105.59°, γ = 90.00°
Element x y z (fractional)
Cd: 0.622 0.873 0.747
Cd: 0.125 0.873 0.747
Cd: 0.127 0.875 0.253
Cd: 0.127 0.378 0.253
Cd: 0.294 0.294 0.587
Cd: 0.706 0.706 0.413
Dy: 0.544 0.044 0.089
Dy: 0.956 0.456 0.911
Pd: 0.250 0.750 0.500
Pd: 0.000 0.000 0.000

| no. | DOS(E_F) (states/eV per atom) | raw total energy (Ry/atom) |
| --- | --- | --- |
| 1 | 0.6716 | -0.18879 |
| 2 | 0.0000 | -0.19324 |
| 3 | 0.4916 | -0.30737 |
| 4 | 0.6470 | -0.19231 |